AlHg2As | GGA-PBEsol | relaxed

Cell: 3.1276 4.9080 5.3489 Å, 90.00 90.00 90.00°
Space group Pmmm (No. 47)
Symmetry-distinct sites (fractional):
Al (0.0000, 0.0000, 0.0000)
Hg (0.0000, 0.5000, 0.5000)
Hg (0.5000, 0.5000, 0.0000)
As (0.5000, 0.0000, 0.5000)

distance to the lowest polymorph of the same formula = 0.16 eV/f.u.
density of states at the Fermi level = 1.7 states/eV/cell
magnetization = 0.00 μB per atom